Compound: BiPIrSN
Source: Alexandria via LeMat-Bulk
Functional: PBE-GGA
Structure: optimized geometry

Results
* calculated density: 8.36 g/cm³
* formation energy from raw total energies: 25 kJ/mol of formula units
* total magnetization: 0.000 μB per atom
* offset from the most stable computed form: 206 meV/atom

Geometry as CIF:
```
data_BiPIrSN
_cell_length_a 9.124
_cell_length_b 3.485
_cell_length_c 6.410
_cell_angle_alpha 90.00
_cell_angle_beta 111.16
_cell_angle_gamma 90.00
_symmetry_space_group_name_H-M 'C 1 m 1'
_symmetry_Int_Tables_number 8
_symmetry_space_group_name_Hall 'C -2y'
loop_
_atom_site_label
_atom_site_fract_x
_atom_site_fract_y
_atom_site_fract_z
Bi1 0.000 0.000 0.000
P1 0.350 0.000 0.411
Ir1 0.178 0.500 0.374
S1 0.079 0.500 0.684
N1 0.435 0.000 0.217
```

Compound: LiHg2Rh2
Source: Alexandria via LeMat-Bulk
Functional: PBE-GGA
Structure: optimized geometry

Results
* energy of formation from the pure elements: 0.0830 eV per atom
* calculated density: 10.90 g/cm³
* total magnetization: 0.000 μB per atom
* offset from the most stable computed form: 24 meV/atom

Geometry as CIF:
```
data_LiHg2Rh2
_cell_length_a 7.768
_cell_length_b 7.768
_cell_length_c 3.101
_cell_angle_alpha 90.00
_cell_angle_beta 90.00
_cell_angle_gamma 90.00
_symmetry_space_group_name_H-M 'P 4/m b m'
_symmetry_Int_Tables_number 127
_symmetry_space_group_name_Hall '-P 4 2ab'
loop_
_atom_site_label
_atom_site_fract_x
_atom_site_fract_y
_atom_site_fract_z
Li1 0.000 0.000 0.000
Hg1 0.174 0.326 0.000
Rh1 0.123 0.623 0.500
```

Compound: MnAl2Mo
Source: Alexandria via LeMat-Bulk
Functional: PBE-GGA
Structure: optimized geometry

Results
* energy of formation from the pure elements: 0.0225 eV per atom
* calculated density: 5.84 g/cm³
* total magnetization: 0.000 μB per atom

Geometry as CIF:
```
data_MnAl2Mo
_cell_length_a 2.8150
_cell_length_b 2.8150
_cell_length_c 25.4791
_cell_angle_alpha 90.00
_cell_angle_beta 90.00
_cell_angle_gamma 120.00
_symmetry_space_group_name_H-M 'R 3 m'
_symmetry_Int_Tables_number 160
_symmetry_space_group_name_Hall 'R 3 -2"'
loop_
_atom_site_label
_atom_site_fract_x
_atom_site_fract_y
_atom_site_fract_z
Mn1 0.0000 0.0000 0.0000
Al1 0.0000 0.0000 0.5025
Al2 0.0000 0.0000 0.7446
Mo1 0.0000 0.0000 0.2578
```

Compound: Mg2TaAg
Source: Alexandria via LeMat-Bulk
Functional: PBE-GGA
Structure: optimized geometry

Results
* energy of formation from the pure elements: 0.3201 eV per atom
* calculated density: 7.25 g/cm³
* total magnetization: 0.000 μB per atom
* offset from the most stable computed form: 260 meV/atom

Geometry as CIF:
```
data_Mg2TaAg
_cell_length_a 2.894
_cell_length_b 5.097
_cell_length_c 10.478
_cell_angle_alpha 90.00
_cell_angle_beta 90.00
_cell_angle_gamma 90.00
_symmetry_space_group_name_H-M 'I m m 2'
_symmetry_Int_Tables_number 44
_symmetry_space_group_name_Hall 'I 2 -2'
loop_
_atom_site_label
_atom_site_fract_x
_atom_site_fract_y
_atom_site_fract_z
Mg1 0.000 0.000 0.000
Mg2 0.000 0.500 0.231
Ta1 0.000 0.500 0.760
Ag1 0.000 0.000 0.499
```

Compound: AgSbPdI2
Source: Alexandria via LeMat-Bulk
Functional: PBE-GGA
Structure: optimized geometry

Results
* calculated density: 6.02 g/cm³
* formation energy from raw total energies: 168 kJ/mol of formula units
* total magnetization: 0.061 μB per atom
* offset from the most stable computed form: 0 meV/atom

Geometry as CIF:
```
data_AgSbPdI2
_cell_length_a 5.631
_cell_length_b 5.631
_cell_length_c 5.134
_cell_angle_alpha 90.00
_cell_angle_beta 90.00
_cell_angle_gamma 90.00
_symmetry_space_group_name_H-M 'P 4/m m m'
_symmetry_Int_Tables_number 123
_symmetry_space_group_name_Hall '-P 4 2'
loop_
_atom_site_label
_atom_site_fract_x
_atom_site_fract_y
_atom_site_fract_z
Ag1 0.000 0.000 0.000
Sb1 0.500 0.500 0.000
Pd1 0.500 0.500 0.500
I1 0.000 0.500 0.500
```

Compound: Sm6As2Se3Cl
Source: Alexandria via LeMat-Bulk
Functional: PBE-GGA
Structure: optimized geometry

Results
* calculated density: 7.07 g/cm³
* formation energy from raw total energies: -1944 kJ/mol of formula units
* total magnetization: 0.000 μB per atom

Geometry as CIF:
```
data_Sm6As2Se3Cl
_cell_length_a 18.235
_cell_length_b 4.185
_cell_length_c 8.365
_cell_angle_alpha 90.00
_cell_angle_beta 102.95
_cell_angle_gamma 90.00
_symmetry_space_group_name_H-M 'C 1 2/m 1'
_symmetry_Int_Tables_number 12
_symmetry_space_group_name_Hall '-C 2y'
loop_
_atom_site_label
_atom_site_fract_x
_atom_site_fract_y
_atom_site_fract_z
Sm1 0.004 0.000 0.270
Sm2 0.170 0.500 0.579
Sm3 0.176 0.500 0.096
As1 0.165 0.000 0.331
Se1 0.000 0.500 0.500
Se2 0.161 0.000 0.835
Cl1 0.000 0.500 0.000
```

Compound: H3SI3
Source: Alexandria via LeMat-Bulk
Functional: PBE-GGA
Structure: optimized geometry

Results
* calculated density: 2.75 g/cm³
* total magnetization: 0.000 μB per atom
* DFT total energy: -38.31 eV/cell

Geometry as CIF:
```
data_H3SI3
_cell_length_a 7.226
_cell_length_b 8.265
_cell_length_c 8.843
_cell_angle_alpha 90.00
_cell_angle_beta 107.96
_cell_angle_gamma 90.00
_symmetry_space_group_name_H-M 'P 1 21/m 1'
_symmetry_Int_Tables_number 11
_symmetry_space_group_name_Hall '-P 2yb'
loop_
_atom_site_label
_atom_site_fract_x
_atom_site_fract_y
_atom_site_fract_z
H1 0.152 0.250 0.423
H2 0.220 0.750 0.091
H3 0.345 0.750 0.925
S1 0.404 0.750 0.085
I1 0.054 0.250 0.638
I2 0.224 0.250 0.253
I3 0.341 0.750 0.548
```

Compound: PmScHg
Source: Alexandria via LeMat-Bulk
Functional: PBE-GGA
Structure: optimized geometry

Results
* energy of formation from the pure elements: -0.1892 eV per atom
* calculated density: 7.97 g/cm³
* total magnetization: 0.382 μB per atom
* offset from the most stable computed form: 90 meV/atom

Geometry as CIF:
```
data_PmScHg
_cell_length_a 3.501
_cell_length_b 3.501
_cell_length_c 26.570
_cell_angle_alpha 90.00
_cell_angle_beta 90.00
_cell_angle_gamma 90.00
_symmetry_space_group_name_H-M 'I 4/m m m'
_symmetry_Int_Tables_number 139
_symmetry_space_group_name_Hall '-I 4 2'
loop_
_atom_site_label
_atom_site_fract_x
_atom_site_fract_y
_atom_site_fract_z
Pm1 0.000 0.000 0.067
Sc1 0.000 0.000 0.212
Hg1 0.000 0.000 0.353
```

Compound: K2LiTa
Source: Alexandria via LeMat-Bulk
Functional: PBE-GGA
Structure: optimized geometry

Results
* energy of formation from the pure elements: 1.2077 eV per atom
* calculated density: 3.77 g/cm³
* total magnetization: 0.050 μB per atom
* offset from the most stable computed form: 270 meV/atom

Geometry as CIF:
```
data_K2LiTa
_cell_length_a 2.914
_cell_length_b 6.231
_cell_length_c 6.449
_cell_angle_alpha 90.00
_cell_angle_beta 90.00
_cell_angle_gamma 90.00
_symmetry_space_group_name_H-M 'P m m m'
_symmetry_Int_Tables_number 47
_symmetry_space_group_name_Hall '-P 2 2'
loop_
_atom_site_label
_atom_site_fract_x
_atom_site_fract_y
_atom_site_fract_z
K1 0.000 0.000 0.000
K2 0.500 0.500 0.000
Li1 0.000 0.500 0.500
Ta1 0.500 0.000 0.500
```

Compound: PrYRhAu
Source: Alexandria via LeMat-Bulk
Functional: PBE-GGA
Structure: optimized geometry

Results
* energy of formation from the pure elements: -0.7757 eV per atom
* calculated density: 9.14 g/cm³
* total magnetization: 0.000 μB per atom
* offset from the most stable computed form: 0 meV/atom

Geometry as CIF:
```
data_PrYRhAu
_cell_length_a 4.662
_cell_length_b 3.886
_cell_length_c 10.622
_cell_angle_alpha 90.00
_cell_angle_beta 90.00
_cell_angle_gamma 90.00
_symmetry_space_group_name_H-M 'A m m 2'
_symmetry_Int_Tables_number 38
_symmetry_space_group_name_Hall 'A 2 -2'
loop_
_atom_site_label
_atom_site_fract_x
_atom_site_fract_y
_atom_site_fract_z
Pr1 0.000 0.000 0.000
Y1 0.500 0.000 0.281
Rh1 0.000 0.000 0.735
Au1 0.500 0.000 0.565
```

Compound: Zr5Fe4Cu
Source: Alexandria via LeMat-Bulk
Functional: PBE-GGA
Structure: optimized geometry

Results
* energy of formation from the pure elements: -0.1700 eV per atom
* calculated density: 7.54 g/cm³
* total magnetization: 0.045 μB per atom

Geometry as CIF:
```
data_Zr5Fe4Cu
_cell_length_a 3.181
_cell_length_b 3.181
_cell_length_c 16.169
_cell_angle_alpha 90.00
_cell_angle_beta 90.00
_cell_angle_gamma 90.00
_symmetry_space_group_name_H-M 'P 4/m m m'
_symmetry_Int_Tables_number 123
_symmetry_space_group_name_Hall '-P 4 2'
loop_
_atom_site_label
_atom_site_fract_x
_atom_site_fract_y
_atom_site_fract_z
Zr1 0.000 0.000 0.000
Zr2 0.000 0.000 0.197
Zr3 0.000 0.000 0.392
Fe1 0.500 0.500 0.098
Fe2 0.500 0.500 0.295
Cu1 0.500 0.500 0.500
```

Compound: KCrPb3
Source: Alexandria via LeMat-Bulk
Functional: PBE-GGA
Structure: optimized geometry

Results
* energy of formation from the pure elements: 1.3589 eV per atom
* calculated density: 5.72 g/cm³
* total magnetization: 1.014 μB per atom
* offset from the most stable computed form: 1108 meV/atom

Geometry as CIF:
```
data_KCrPb3
_cell_length_a 5.914
_cell_length_b 5.914
_cell_length_c 5.914
_cell_angle_alpha 90.00
_cell_angle_beta 90.00
_cell_angle_gamma 90.00
_symmetry_space_group_name_H-M 'P m -3 m'
_symmetry_Int_Tables_number 221
_symmetry_space_group_name_Hall '-P 4 2 3'
loop_
_atom_site_label
_atom_site_fract_x
_atom_site_fract_y
_atom_site_fract_z
K1 0.000 0.000 0.000
Cr1 0.500 0.500 0.500
Pb1 0.000 0.000 0.500
```